YErNp2Se4 | PBE | optimized geometry

Unit cell a=4.0731 b=7.0613 c=7.0861 alpha=109.33 beta=90.00 gamma=90.00
Site moments in Bohr magnetons follow the coordinates.
Positions (direct):
Se (0.5000, 0.2507, 0.2466)  -0.03
Er (0.5000, 0.5000, 0.0000)  0.02
Np (0.0000, 0.5000, 0.5000)  4.13
Y (0.0000, 0.0000, 0.0000)  0.02
Se (0.0000, 0.7463, 0.2450)  -0.03
Se (0.5000, 0.7493, 0.7534)  -0.03
Se (0.0000, 0.2537, 0.7550)  -0.03
Np (0.5000, 0.0000, 0.5000)  4.16

## Properties
Energy relative to the elements, uncorrected ... -1.415 eV/atom